*A*
## SeIO2 (GGA-PBE)

Data for an optimized crystal structure of SeIO2.

```
data_SeIO2
_cell_length_a 6.2104
_cell_length_b 6.2104
_cell_length_c 8.7971
_cell_angle_alpha 90.00
_cell_angle_beta 90.00
_cell_angle_gamma 90.00
_symmetry_space_group_name_H-M 'I -4 2 d'
_symmetry_Int_Tables_number 122
_symmetry_space_group_name_Hall 'I -4 2bw'
loop_
_atom_site_label
_atom_site_type_symbol
_atom_site_fract_x
_atom_site_fract_y
_atom_site_fract_z
Se1 Se 0.0000 0.0000 0.0000
I1 I 0.0000 0.0000 0.5000
O1 O 0.0009 0.2500 0.1250
```

***

*B*
## SeIO2 (GGA-PBE)

Data for an optimized crystal structure of SeIO2.

```
data_SeIO2
_cell_length_a 6.1065
_cell_length_b 6.1065
_cell_length_c 6.1065
_cell_angle_alpha 90.00
_cell_angle_beta 90.00
_cell_angle_gamma 90.00
_symmetry_space_group_name_H-M 'F m -3 m'
_symmetry_Int_Tables_number 225
_symmetry_space_group_name_Hall '-F 4 2 3'
loop_
_atom_site_label
_atom_site_type_symbol
_atom_site_fract_x
_atom_site_fract_y
_atom_site_fract_z
Se1 Se 0.0000 0.0000 0.0000
I1 I 0.0000 0.0000 0.5000
O1 O 0.2500 0.2500 0.2500
```

***

*C*
## SeIO2 (GGA-PBE)

Data for an optimized crystal structure of SeIO2.

```
data_SeIO2
_cell_length_a 3.1962
_cell_length_b 3.1962
_cell_length_c 22.8427
_cell_angle_alpha 90.00
_cell_angle_beta 90.00
_cell_angle_gamma 120.00
_symmetry_space_group_name_H-M 'R -3 m'
_symmetry_Int_Tables_number 166
_symmetry_space_group_name_Hall '-R 3 2"'
loop_
_atom_site_label
_atom_site_type_symbol
_atom_site_fract_x
_atom_site_fract_y
_atom_site_fract_z
Se1 Se 0.0000 0.0000 0.0000
I1 I 0.0000 0.0000 0.5000
O1 O 0.0000 0.0000 0.0792
```

***

Last place for stability: *B*